The following is a DFT calculation (PBE-GGA) of NpH3 after structural relaxation.

Cell: 3.658 3.658 6.500 Å, 90.00 90.00 120.00°
Site moments in Bohr magnetons follow the coordinates.
Fractional positions:
Np1 0.333 0.667 0.250  3.63
H1 0.667 0.333 0.095  -0.02
H2 0.000 0.000 0.750  -0.02
H3 0.667 0.333 0.405  -0.02
H4 0.333 0.667 0.595  -0.02
H5 0.000 0.000 0.250  -0.02
Np2 0.667 0.333 0.750  3.63
H6 0.333 0.667 0.905  -0.02

Calculated values
Size of the total moment   0.96 μB/atom
Space group   P6_3/mmc, No. 194
VASP energy   -5.962 eV/atom

***

The following is a DFT calculation (PBE-GGA) of NpH after structural relaxation.

Cell: 2.916 2.916 3.490 Å, 90.00 90.00 120.00°
Site moments in Bohr magnetons follow the coordinates.
Fractional positions:
H1 0.667 0.333 0.750  -0.02
Np1 0.333 0.667 0.250  3.63

Calculated values
Size of the total moment   1.88 μB/atom
Space group   P-6m2, No. 187
VASP energy   -7.967 eV/atom

***

The following is a DFT calculation (PBE-GGA) of NpH after structural relaxation.

Cell: 3.616 3.616 4.731 Å, 90.00 90.00 120.00°
Site moments in Bohr magnetons follow the coordinates.
Fractional positions:
Np1 0.667 0.333 0.250  3.89
H1 0.000 0.000 0.500  -0.02
H2 0.000 0.000 0.000  -0.02
Np2 0.333 0.667 0.750  3.89

Calculated values
Size of the total moment   2.06 μB/atom
Space group   P6_3/mmc, No. 194
VASP energy   -8.001 eV/atom

***

The following is a DFT calculation (PBE-GGA) of NpH after structural relaxation.

Cell: 3.517 3.517 3.517 Å, 60.00 60.00 60.00°
Site moments in Bohr magnetons follow the coordinates.
Fractional positions:
H1 0.000 0.000 0.000  -0.01
Np1 0.250 0.250 0.250  3.86

Calculated values
Size of the total moment   2.12 μB/atom
Space group   F-43m, No. 216
VASP energy   -7.904 eV/atom

***

The following is a DFT calculation (PBE-GGA) of NpH after structural relaxation.

Cell: 3.372 3.372 3.372 Å, 60.00 60.00 60.00°
Site moments in Bohr magnetons follow the coordinates.
Fractional positions:
Np1 0.500 0.500 0.500  3.81
H1 0.000 0.000 0.000  -0.01

Calculated values
Size of the total moment   2.04 μB/atom
Space group   Fm-3m, No. 225
VASP energy   -8.039 eV/atom

***

The following is a DFT calculation (PBE-GGA) of Np3HS6 after structural relaxation.

Cell: 8.221 8.221 6.491 Å, 90.00 90.00 101.37°
Site moments in Bohr magnetons follow the coordinates.
Fractional positions:
S1 0.875 0.801 0.310  -0.13
Np1 0.580 0.782 0.503  3.47
Np2 0.218 0.420 0.503  3.51
S2 0.596 0.057 0.275  -0.15
Np3 0.101 0.899 0.615  3.40
Np4 0.899 0.101 0.115  3.39
S3 0.125 0.199 0.810  -0.13
S4 0.484 0.516 0.755  -0.16
S5 0.943 0.404 0.275  -0.15
Np5 0.420 0.218 0.003  3.50
S6 0.735 0.265 0.839  -0.09
S7 0.516 0.484 0.255  -0.16
S8 0.199 0.125 0.310  -0.13
H1 0.741 0.259 0.628  0.01
Np6 0.782 0.580 0.003  3.55
S9 0.404 0.943 0.775  -0.15
H2 0.259 0.741 0.128  0.01
S10 0.057 0.596 0.775  -0.15
S11 0.801 0.875 0.810  -0.13
S12 0.265 0.735 0.339  -0.10

Calculated values
Size of the total moment   1.00 μB/atom
Space group   Cmc2_1, No. 36
VASP energy   -7.822 eV/atom

***

The following is a DFT calculation (PBE-GGA) of Np2SbH2 after structural relaxation.

Cell: 4.103 4.103 5.639 Å, 111.32 111.32 90.01°
Site moments in Bohr magnetons follow the coordinates.
Fractional positions:
H1 0.250 0.750 0.500  -0.02
H2 0.750 0.250 0.500  -0.02
Np1 0.654 0.654 0.308  4.18
Np2 0.346 0.346 0.692  4.18
Sb1 0.000 0.000 0.000  -0.11

Calculated values
Size of the total moment   1.78 μB/atom
Space group   I4/mmm, No. 139
VASP energy   -7.644 eV/atom

***

The following is a DFT calculation (PBE-GGA) of HOsPbO4 after structural relaxation.

Cell: 5.108 5.922 5.545 Å, 90.00 92.65 90.00°
Site moments in Bohr magnetons follow the coordinates.
Fractional positions:
O1 0.797 0.077 0.039  0.04
H1 0.000 0.500 0.000  0.00
H2 0.000 0.500 0.500  0.00
O2 0.797 0.923 0.539  0.04
O3 0.181 0.390 0.917  0.01
Os1 0.000 0.137 0.750  0.33
Pb1 0.500 0.310 0.250  0.00
Pb2 0.500 0.690 0.750  0.00
O4 0.203 0.923 0.961  0.04
O5 0.819 0.390 0.583  0.01
O6 0.203 0.077 0.461  0.04
O7 0.819 0.610 0.083  0.01
O8 0.181 0.610 0.417  0.01
Os2 0.000 0.863 0.250  0.33

Calculated values
Size of the total moment   0.07 μB/atom
Space group   P2/c, No. 13
VASP energy   -6.378 eV/atom

***

- Look up the size of the total moment of the second one.
  1.88 μB/atom

***

- size of the total moment of number 5 (NpH)?
  2.04 μB/atom

***

Repeat the sixth record exactly.
The following is a DFT calculation (PBE-GGA) of Np3HS6 after structural relaxation.

Cell: 8.221 8.221 6.491 Å, 90.00 90.00 101.37°
Site moments in Bohr magnetons follow the coordinates.
Fractional positions:
S1 0.875 0.801 0.310  -0.13
Np1 0.580 0.782 0.503  3.47
Np2 0.218 0.420 0.503  3.51
S2 0.596 0.057 0.275  -0.15
Np3 0.101 0.899 0.615  3.40
Np4 0.899 0.101 0.115  3.39
S3 0.125 0.199 0.810  -0.13
S4 0.484 0.516 0.755  -0.16
S5 0.943 0.404 0.275  -0.15
Np5 0.420 0.218 0.003  3.50
S6 0.735 0.265 0.839  -0.09
S7 0.516 0.484 0.255  -0.16
S8 0.199 0.125 0.310  -0.13
H1 0.741 0.259 0.628  0.01
Np6 0.782 0.580 0.003  3.55
S9 0.404 0.943 0.775  -0.15
H2 0.259 0.741 0.128  0.01
S10 0.057 0.596 0.775  -0.15
S11 0.801 0.875 0.810  -0.13
S12 0.265 0.735 0.339  -0.10

Calculated values
Size of the total moment   1.00 μB/atom
Space group   Cmc2_1, No. 36
VASP energy   -7.822 eV/atom